1.
This record from the Alexandria database describes BaCaBTe2 after structural relaxation. The functional is PBE.

```
BaCaBTe2
1.0
5.6444 0.0000 0.0000
0.0000 5.6444 0.0000
0.0000 0.0000 4.7374
B Ba Te Ca
1 1 2 1
direct
0.0000 0.0000 0.0000
0.5000 0.5000 0.5000
0.5000 0.0000 0.0000
0.0000 0.5000 0.0000
0.0000 0.0000 0.5000
```

Output
Raw formation energy (eV/atom): -0.28
D(E_F) (states/eV/f.u.): 1.59
Final energy (eV for the cell shown): -18.3

2.
This record from the Alexandria database describes AgOs3 after structural relaxation. The functional is PBE.

```
AgOs3
1.0
-0.3271 0.7657 2.6131
0.5467 -2.5598 0.8185
7.8280 1.8151 0.4481
Os Ag
3 1
direct
0.5000 0.5000 0.2684
0.0000 0.0000 0.5000
0.5000 0.5000 0.7316
0.0000 0.0000 0.0000
```

Output
Relative energy among the computed polymorphs (meV/atom): 227
Formation energy (eV per atom): 0.4987
D(E_F) (states/eV/f.u.): 4.70
Final energy (eV for the cell shown): -34.5

3.
This record from the Alexandria database describes Ba2TmAg2S4 after structural relaxation. The functional is PBE.

```
Ba2TmAg2S4
1.0
-3.3006 -0.8422 -2.0632
2.4953 -7.3021 -1.0110
-2.7260 1.6066 7.5484
S Ag Tm Ba
4 2 1 2
direct
0.5139 0.7592 0.0277
0.8142 0.7630 0.6284
0.4861 0.2408 0.9723
0.1858 0.2370 0.3716
0.6847 0.0071 0.3693
0.3153 0.9929 0.6307
0.0000 0.0000 0.0000
0.8635 0.4198 0.7270
0.1365 0.5802 0.2730
```

Output
Raw formation energy (eV/atom): -1.33
D(E_F) (states/eV/f.u.): 2.05
Final energy (eV for the cell shown): -42.5

4.
This record from the Alexandria database describes Zr2CoSi2 after structural relaxation. The functional is PBE.

```
Zr2CoSi2
1.0
5.3113 0.0000 0.0000
0.0000 5.4116 0.0000
-2.6556 -2.7058 5.9326
Zr Co Si
4 2 4
direct
0.3341 0.0993 0.6681
0.8341 0.5688 0.6681
0.6659 0.9007 0.3319
0.1659 0.4312 0.3319
0.2500 0.5000 0.0000
0.7500 0.5000 0.0000
0.5933 0.3117 0.1867
0.0933 0.8749 0.1867
0.9067 0.1251 0.8133
0.4067 0.6883 0.8133
```

Output
Raw formation energy (eV/atom): -0.66
D(E_F) (states/eV/f.u.): 3.33
Final energy (eV for the cell shown): -76.7